A geometry-optimized LiPmAgSn structure. Source: Alexandria via LeMat-Bulk, functional GGA-PBE.

Lattice parameters (Å, degrees): 7.2082 7.2082 7.2082 90.00 90.00 90.00
Closest atoms and distances in Å follow each position.
Fractional coordinates of all 16 atoms:
1 Li 0.0000 0.0000 0.0000  4 Sn 3.12, 4 Ag 3.12
2 Li 0.0000 0.5000 0.5000  4 Sn 3.12, 4 Ag 3.12
3 Li 0.5000 0.0000 0.5000  4 Sn 3.12, 4 Ag 3.12
4 Li 0.5000 0.5000 0.0000  4 Sn 3.12, 4 Ag 3.12
5 Pm 0.0000 0.0000 0.5000  4 Sn 3.12, 4 Ag 3.12
6 Pm 0.0000 0.5000 0.0000  4 Sn 3.12, 4 Ag 3.12
7 Pm 0.5000 0.0000 0.0000  4 Sn 3.12, 4 Ag 3.12
8 Pm 0.5000 0.5000 0.5000  4 Sn 3.12, 4 Ag 3.12
9 Ag 0.2500 0.2500 0.7500  4 Li 3.12, 4 Pm 3.12
10 Ag 0.2500 0.7500 0.2500  4 Li 3.12, 4 Pm 3.12
11 Ag 0.7500 0.2500 0.2500  4 Li 3.12, 4 Pm 3.12
12 Ag 0.7500 0.7500 0.7500  4 Li 3.12, 4 Pm 3.12
13 Sn 0.2500 0.2500 0.2500  4 Li 3.12, 4 Pm 3.12
14 Sn 0.2500 0.7500 0.7500  4 Li 3.12, 4 Pm 3.12
15 Sn 0.7500 0.2500 0.7500  4 Li 3.12, 4 Pm 3.12
16 Sn 0.7500 0.7500 0.2500  4 Li 3.12, 4 Pm 3.12

Calculated values
SG: F-43m (216)
energy relative to the lowest polymorph listed for this composition: 0.000 eV per atom
formation enthalpy at 0 K: -43 kJ/mol of atoms

***

A geometry-optimized CaTeC structure. Source: Alexandria via LeMat-Bulk, functional GGA-PBE.

Lattice parameters (Å, degrees): 4.3463 4.3814 8.3524 91.45 95.67 90.52
Closest atoms and distances in Å follow each position.
Fractional coordinates of all 6 atoms:
1 Ca 0.0000 0.0000 0.0000  3 C 2.52-2.82
2 Ca 0.5000 0.0581 0.4620  2 C 2.80-2.99, 2 Te 3.05-3.08
3 Te 0.0142 0.5917 0.5409  1 C 2.10
4 Te 0.5649 0.4962 0.1722  5 Ca 3.16-3.45, 1 Te 3.49
5 C 0.2876 0.8021 0.7355  1 C 1.26
6 C 0.5065 0.9464 0.8145  1 C 1.26

Calculated values
SG: P1 (1)
ΔE_f (raw): -0.36 eV/atom
energy relative to the lowest polymorph listed for this composition: 0.098 eV per atom

***

A geometry-optimized NaAc4Se6 structure. Source: Alexandria via LeMat-Bulk, functional GGA-PBE.

Lattice parameters (Å, degrees): 8.6400 8.6400 8.6400 90.62 90.62 90.62
Closest atoms and distances in Å follow each position.
Fractional coordinates of all 22 atoms:
1 Na 0.0000 0.0000 0.0000  6 Se 2.87
2 Na 0.5000 0.5000 0.5000  6 Se 2.87
3 Ac 0.1354 0.7500 0.3646  8 Se 3.18-3.38
4 Ac 0.2500 0.2500 0.2500  6 Se 3.10
5 Ac 0.2500 0.6354 0.8646  8 Se 3.18-3.38
6 Ac 0.3646 0.1354 0.7500  8 Se 3.18-3.38
7 Ac 0.6354 0.8646 0.2500  8 Se 3.18-3.38
8 Ac 0.7500 0.3646 0.1354  8 Se 3.18-3.38
9 Ac 0.7500 0.7500 0.7500  6 Se 3.10
10 Ac 0.8646 0.2500 0.6354  8 Se 3.18-3.38
11 Se 0.0610 0.9171 0.6845  1 Na 2.87, 2 Ac 3.10-3.18
12 Se 0.0829 0.3155 0.9390  1 Na 2.87, 2 Ac 3.10-3.18
13 Se 0.1845 0.4171 0.5610  1 Na 2.87, 2 Ac 3.10-3.18
14 Se 0.3155 0.9390 0.0829  1 Na 2.87, 2 Ac 3.10-3.18
15 Se 0.4171 0.5610 0.1845  1 Na 2.87, 2 Ac 3.10-3.18
16 Se 0.4390 0.8155 0.5829  1 Na 2.87, 2 Ac 3.10-3.18
17 Se 0.5610 0.1845 0.4171  1 Na 2.87, 2 Ac 3.10-3.18
18 Se 0.5829 0.4390 0.8155  1 Na 2.87, 2 Ac 3.10-3.18
19 Se 0.6845 0.0610 0.9171  1 Na 2.87, 2 Ac 3.10-3.18
20 Se 0.8155 0.5829 0.4390  1 Na 2.87, 2 Ac 3.10-3.18
21 Se 0.9171 0.6845 0.0610  1 Na 2.87, 2 Ac 3.10-3.18
22 Se 0.9390 0.0829 0.3155  1 Na 2.87, 2 Ac 3.10-3.18

Calculated values
SG: R-3c (167)
ΔE_f (raw): -1.85 eV/atom